The following is a DFT calculation (GGA-PBE) of a geometry-optimized SrY2Bi2 structure.

a = 4.914 Å, b = 4.914 Å, c = 8.186 Å
α = 72.53°, β = 72.53°, γ = 90.00°
Site moments in Bohr magnetons follow the coordinates.
Atoms (fractional coordinates):
Sr 0.000 0.000 0.000  0.02
Y 0.250 0.750 0.500  0.32
Bi 0.615 0.615 0.770  -0.03
Y 0.750 0.250 0.500  0.32
Bi 0.385 0.385 0.230  -0.03

Crystal system = tetragonal
Formation energy from the elements = -595.7 meV per atom
Electronic total energy = -5.07 eV per atom
Energy above the lowest structure with this stoichiometry = 9.4 kJ/mol of atoms
Total moment = 1.30 μB per formula unit

---

The following is a DFT calculation (GGA-PBE) of a geometry-optimized Sr5YBi4 structure.

a = 5.360 Å, b = 8.251 Å, c = 12.375 Å
α = 130.49°, β = 102.51°, γ = 90.00°
Atoms (fractional coordinates):
Bi 0.984 0.729 0.968
Sr 0.161 0.827 0.322
Sr 0.836 0.678 0.672
Sr 0.500 0.500 0.000
Sr 0.839 0.173 0.678
Sr 0.164 0.322 0.328
Bi 0.016 0.271 0.032
Y 0.500 0.000 0.000
Bi 0.681 0.112 0.361
Bi 0.319 0.888 0.639

Crystal system = monoclinic
Formation energy from the elements = -731.5 meV per atom
Electronic total energy = -3.77 eV per atom
Total moment = 0.00 μB per formula unit

---

The following is a DFT calculation (GGA-PBE) of a geometry-optimized Sr5YBi5 structure.

a = 6.670 Å, b = 8.521 Å, c = 9.318 Å
α = 106.46°, β = 90.00°, γ = 113.04°
Atoms (fractional coordinates):
Sr 0.000 0.000 0.500
Y 0.000 0.000 0.000
Sr 0.324 0.649 0.150
Sr 0.686 0.372 0.323
Bi 0.842 0.685 0.678
Bi 0.158 0.315 0.322
Sr 0.676 0.351 0.850
Bi 0.851 0.703 0.165
Sr 0.314 0.628 0.677
Bi 0.149 0.297 0.835
Bi 0.500 0.000 0.000

Crystal system = monoclinic
Formation energy from the elements = -717.6 meV per atom
Electronic total energy = -3.83 eV per atom
Total moment = 0.00 μB per formula unit

---

The following is a DFT calculation (GGA-PBE) of a geometry-optimized SrY3Bi structure.

a = 5.945 Å, b = 5.945 Å, c = 5.945 Å
α = 90.00°, β = 90.00°, γ = 90.00°
Site moments in Bohr magnetons follow the coordinates.
Atoms (fractional coordinates):
Bi 0.000 0.000 0.000  0.01
Sr 0.500 0.500 0.500  0.04
Y 0.000 0.500 0.000  0.24
Y 0.500 0.000 0.000  0.17
Y 0.000 0.000 0.500  0.33

Crystal system = cubic
Formation energy from the elements = 104.8 meV per atom
Electronic total energy = -4.89 eV per atom
Energy above the lowest structure with this stoichiometry = 0.0 kJ/mol of atoms
Total moment = 1.97 μB per formula unit

---

The following is a DFT calculation (GGA-PBE) of a geometry-optimized SrY2Bi2 structure.

a = 8.753 Å, b = 8.753 Å, c = 4.241 Å
α = 90.00°, β = 90.00°, γ = 90.00°
Atoms (fractional coordinates):
Bi 0.147 0.353 0.000
Bi 0.353 0.853 0.000
Y 0.849 0.349 0.500
Y 0.349 0.151 0.500
Bi 0.853 0.647 0.000
Sr 0.500 0.500 0.000
Bi 0.647 0.147 0.000
Sr 0.000 0.000 0.000
Y 0.651 0.849 0.500
Y 0.151 0.651 0.500

Crystal system = tetragonal
Formation energy from the elements = -692.6 meV per atom
Electronic total energy = -5.17 eV per atom
Energy above the lowest structure with this stoichiometry = 0.0 kJ/mol of atoms
Total moment = 0.00 μB per formula unit

---

The following is a DFT calculation (GGA-PBE) of a geometry-optimized Sr2Y2Bi structure.

a = 8.244 Å, b = 8.244 Å, c = 5.874 Å
α = 90.00°, β = 90.00°, γ = 90.00°
Site moments in Bohr magnetons follow the coordinates.
Atoms (fractional coordinates):
Y 0.649 0.149 0.000  0.18
Y 0.351 0.851 0.000  0.18
Sr 0.837 0.337 0.500  0.03
Sr 0.163 0.663 0.500  0.03
Y 0.149 0.351 0.000  0.18
Sr 0.337 0.163 0.500  0.03
Y 0.851 0.649 0.000  0.18
Bi 0.000 0.000 0.000  0.00
Sr 0.663 0.837 0.500  0.03
Bi 0.500 0.500 0.000  0.00

Crystal system = tetragonal
Formation energy from the elements = -146.7 meV per atom
Electronic total energy = -4.18 eV per atom
Total moment = 1.00 μB per formula unit

---

The following is a DFT calculation (GGA-PBE) of a geometry-optimized SrY2Bi structure.

a = 9.452 Å, b = 9.452 Å, c = 7.516 Å
α = 51.04°, β = 51.04°, γ = 90.00°
Site moments in Bohr magnetons follow the coordinates.
Atoms (fractional coordinates):
Y 0.068 0.625 0.250  0.18
Bi 0.750 0.250 0.500  0.01
Sr 0.500 0.500 0.000  0.02
Y 0.875 0.932 0.750  0.17
Y 0.682 0.125 0.250  0.18
Y 0.375 0.318 0.750  0.17
Sr 0.250 0.750 0.500  0.03
Bi 0.000 0.000 0.000  0.01

Crystal system = tetragonal
Formation energy from the elements = -54.7 meV per atom
Electronic total energy = -4.68 eV per atom
Total moment = 0.82 μB per formula unit

---

The following is a DFT calculation (GGA-PBE) of a geometry-optimized SrYBi structure.

a = 8.604 Å, b = 9.894 Å, c = 9.894 Å
α = 59.22°, β = 64.23°, γ = 64.23°
Site moments in Bohr magnetons follow the coordinates.
Atoms (fractional coordinates):
Y 0.257 0.378 0.379  0.54
Bi 0.923 0.833 0.833  -0.01
Sr 0.257 0.456 0.956  0.13
Y 0.499 0.000 0.000  0.54
Bi 0.257 0.250 0.750  -0.04
Sr 0.257 0.956 0.456  0.13
Sr 0.845 0.750 0.250  0.13
Bi 0.257 0.750 0.250  -0.04
Bi 0.923 0.333 0.333  -0.01
Sr 0.669 0.544 0.044  0.13
Bi 0.590 0.667 0.667  -0.01
Y 0.257 0.879 0.878  0.54
Y 0.015 0.622 0.621  0.54
Bi 0.590 0.167 0.167  -0.01
Sr 0.669 0.044 0.544  0.13
Sr 0.845 0.250 0.750  0.13
Y 0.499 0.500 0.500  0.54
Y 0.015 0.121 0.122  0.54

Crystal system = orthorhombic
Formation energy from the elements = -598.3 meV per atom
Electronic total energy = -4.61 eV per atom
Total moment = 1.74 μB per formula unit

---

The following is a DFT calculation (GGA-PBE) of a geometry-optimized SrY5Bi6 structure.

a = 7.851 Å, b = 7.851 Å, c = 7.878 Å
α = 99.58°, β = 99.58°, γ = 120.08°
Atoms (fractional coordinates):
Y 0.162 0.838 0.500
Bi 0.260 0.260 0.747
Bi 0.086 0.430 0.257
Bi 0.914 0.570 0.743
Bi 0.740 0.740 0.253
Y 0.838 0.162 0.500
Sr 0.000 0.000 0.000
Y 0.668 0.332 0.000
Y 0.500 0.500 0.500
Bi 0.430 0.086 0.257
Y 0.332 0.668 0.000
Bi 0.570 0.914 0.743

Crystal system = monoclinic
Formation energy from the elements = -862.2 meV per atom
Electronic total energy = -5.64 eV per atom
Total moment = 0.00 μB per formula unit

---

The following is a DFT calculation (GGA-PBE) of a geometry-optimized SrY2ZrBi structure.

a = 5.483 Å, b = 5.814 Å, c = 5.483 Å
α = 90.00°, β = 90.00°, γ = 90.00°
Site moments in Bohr magnetons follow the coordinates.
Atoms (fractional coordinates):
Zr 0.500 0.500 0.500  0.18
Y 0.500 0.000 0.000  0.04
Y 0.000 0.000 0.500  0.09
Bi 0.000 0.500 0.000  -0.01
Sr 0.000 0.000 0.000  0.05

Crystal system = tetragonal
Formation energy from the elements = 1274.3 meV per atom
Electronic total energy = -4.13 eV per atom
Total moment = 0.50 μB per formula unit

---

The following is a DFT calculation (GGA-PBE) of a geometry-optimized Sr2Zn4Bi structure.

a = 5.421 Å, b = 5.421 Å, c = 9.132 Å
α = 72.73°, β = 72.73°, γ = 90.00°
Atoms (fractional coordinates):
Zn 0.500 0.000 0.000
Sr 0.371 0.371 0.257
Bi 0.000 0.000 0.000
Zn 0.821 0.821 0.359
Sr 0.629 0.629 0.743
Zn 0.000 0.500 0.000
Zn 0.179 0.179 0.641

Crystal system = tetragonal
Formation energy from the elements = 146.5 meV per atom
Electronic total energy = -1.62 eV per atom
Total moment = 0.00 μB per formula unit

---

The following is a DFT calculation (GGA-PBE) of a geometry-optimized SrZnBi3 structure.

a = 5.519 Å, b = 5.519 Å, c = 5.519 Å
α = 90.00°, β = 90.00°, γ = 90.00°
Atoms (fractional coordinates):
Bi 0.500 0.000 0.000
Sr 0.500 0.500 0.500
Bi 0.000 0.000 0.500
Bi 0.000 0.500 0.000
Zn 0.000 0.000 0.000

Crystal system = cubic
Formation energy from the elements = -57.6 meV per atom
Electronic total energy = -2.98 eV per atom
Energy above the lowest structure with this stoichiometry = 20.1 kJ/mol of atoms
Total moment = 0.00 μB per formula unit

---

The following is a DFT calculation (GGA-PBE) of a geometry-optimized Sr5Zn2Bi5 structure.

a = 4.697 Å, b = 8.910 Å, c = 10.442 Å
α = 87.01°, β = 77.00°, γ = 74.72°
Atoms (fractional coordinates):
Bi 0.000 0.000 0.000
Bi 0.248 0.676 0.827
Bi 0.752 0.324 0.173
Sr 0.696 0.927 0.680
Bi 0.931 0.770 0.368
Sr 0.404 0.286 0.906
Sr 0.304 0.073 0.320
Zn 0.132 0.466 0.271
Sr 0.500 0.500 0.500
Zn 0.868 0.534 0.729
Bi 0.069 0.230 0.632
Sr 0.596 0.714 0.094

Crystal system = monoclinic
Formation energy from the elements = -648.4 meV per atom
Electronic total energy = -3.18 eV per atom
Total moment = 0.00 μB per formula unit

---

The following is a DFT calculation (GGA-PBE) of a geometry-optimized SrZn2Bi2 structure.

a = 8.700 Å, b = 8.700 Å, c = 3.709 Å
α = 90.00°, β = 90.00°, γ = 90.00°
Atoms (fractional coordinates):
Zn 0.845 0.345 0.500
Sr 0.000 0.000 0.000
Bi 0.639 0.139 0.000
Bi 0.861 0.639 0.000
Bi 0.361 0.861 0.000
Zn 0.345 0.155 0.500
Zn 0.155 0.655 0.500
Sr 0.500 0.500 0.000
Bi 0.139 0.361 0.000
Zn 0.655 0.845 0.500

Crystal system = tetragonal
Formation energy from the elements = -73.6 meV per atom
Electronic total energy = -2.47 eV per atom
Total moment = 0.00 μB per formula unit

---

The following is a DFT calculation (GGA-PBE) of a geometry-optimized Sr2ZnBi2 structure.

a = 8.355 Å, b = 8.355 Å, c = 4.891 Å
α = 90.00°, β = 90.00°, γ = 90.00°
Atoms (fractional coordinates):
Sr 0.673 0.827 0.500
Sr 0.173 0.673 0.500
Sr 0.327 0.173 0.500
Zn 0.500 0.500 0.000
Bi 0.868 0.632 0.000
Bi 0.368 0.868 0.000
Bi 0.132 0.368 0.000
Sr 0.827 0.327 0.500
Bi 0.632 0.132 0.000
Zn 0.000 0.000 0.000

Crystal system = tetragonal
Formation energy from the elements = -499.3 meV per atom
Electronic total energy = -2.98 eV per atom
Total moment = 0.00 μB per formula unit

---

The following is a DFT calculation (GGA-PBE) of a geometry-optimized SrZn2Bi structure.

a = 4.939 Å, b = 4.939 Å, c = 10.932 Å
α = 76.94°, β = 76.94°, γ = 90.00°
Atoms (fractional coordinates):
Bi 0.000 0.000 0.000
Bi 0.750 0.250 0.500
Zn 0.875 0.625 0.250
Sr 0.500 0.500 0.000
Sr 0.250 0.750 0.500
Zn 0.375 0.125 0.750
Zn 0.875 0.125 0.750
Zn 0.875 0.125 0.250

Crystal system = tetragonal
Formation energy from the elements = -163.3 meV per atom
Electronic total energy = -2.19 eV per atom
Total moment = 0.00 μB per formula unit

---

The following is a DFT calculation (GGA-PBE) of a geometry-optimized SrZn2Bi2 structure.

a = 4.427 Å, b = 4.427 Å, c = 8.006 Å
α = 73.95°, β = 73.95°, γ = 90.00°
Atoms (fractional coordinates):
Bi 0.375 0.375 0.251
Zn 0.750 0.250 0.500
Sr 0.000 0.000 0.000
Zn 0.250 0.750 0.500
Bi 0.625 0.625 0.749

Crystal system = tetragonal
Formation energy from the elements = -267.2 meV per atom
Electronic total energy = -2.67 eV per atom
Total moment = 0.00 μB per formula unit

---

The following is a DFT calculation (GGA-PBE) of a geometry-optimized SrZnBi structure.

a = 5.449 Å, b = 5.449 Å, c = 6.754 Å
α = 90.00°, β = 90.00°, γ = 71.21°
Atoms (fractional coordinates):
Zn 0.000 0.500 0.500
Zn 0.000 0.500 0.000
Bi 0.718 0.218 0.750
Sr 0.337 0.837 0.750
Sr 0.663 0.163 0.250
Bi 0.282 0.782 0.250

Crystal system = orthorhombic
Formation energy from the elements = -310.1 meV per atom
Electronic total energy = -2.59 eV per atom
Total moment = 0.00 μB per formula unit

---

The following is a DFT calculation (GGA-PBE) of a geometry-optimized SrZn2Bi2 structure.

a = 5.262 Å, b = 5.262 Å, c = 6.239 Å
α = 110.04°, β = 110.04°, γ = 101.16°
Atoms (fractional coordinates):
Bi 0.250 0.750 0.000
Zn 0.617 0.617 0.732
Zn 0.383 0.383 0.268
Bi 0.750 0.250 0.000
Sr 0.000 0.000 0.500

Crystal system = monoclinic
Formation energy from the elements = -287.6 meV per atom
Electronic total energy = -2.69 eV per atom
Total moment = 0.00 μB per formula unit

---

The following is a DFT calculation (GGA-PBE) of a geometry-optimized SrZn3Bi3 structure.

a = 7.747 Å, b = 7.747 Å, c = 7.747 Å
α = 90.00°, β = 90.00°, γ = 90.00°
Atoms (fractional coordinates):
Zn 0.000 0.250 0.500
Bi 0.250 0.000 0.500
Bi 0.750 0.000 0.500
Zn 0.500 0.000 0.750
Zn 0.750 0.500 0.000
Bi 0.500 0.750 0.000
Sr 0.500 0.500 0.500
Zn 0.000 0.750 0.500
Zn 0.500 0.000 0.250
Sr 0.000 0.000 0.000
Bi 0.000 0.500 0.250
Zn 0.250 0.500 0.000
Bi 0.500 0.250 0.000
Bi 0.000 0.500 0.750

Crystal system = cubic
Formation energy from the elements = -21.2 meV per atom
Electronic total energy = -2.47 eV per atom
Total moment = 0.00 μB per formula unit

---

The following is a DFT calculation (GGA-PBE) of a geometry-optimized SrZnBi structure.

a = 4.720 Å, b = 5.640 Å, c = 8.262 Å
α = 106.33°, β = 90.00°, γ = 114.74°
Atoms (fractional coordinates):
Zn 0.163 0.325 0.388
Bi 0.755 0.509 0.239
Bi 0.245 0.491 0.761
Sr 0.000 0.000 0.000
Sr 0.500 0.000 0.500
Zn 0.837 0.675 0.612

Crystal system = monoclinic
Formation energy from the elements = -414.1 meV per atom
Electronic total energy = -2.69 eV per atom
Total moment = 0.00 μB per formula unit

---

The following is a DFT calculation (GGA-PBE) of a geometry-optimized SrZn2Bi2 structure.

a = 8.411 Å, b = 8.411 Å, c = 3.780 Å
α = 90.00°, β = 90.00°, γ = 90.00°
Atoms (fractional coordinates):
Bi 0.686 0.814 0.500
Zn 0.890 0.610 0.000
Bi 0.314 0.186 0.500
Zn 0.110 0.390 0.000
Zn 0.610 0.110 0.000
Zn 0.390 0.890 0.000
Bi 0.814 0.314 0.500
Sr 0.500 0.500 0.000
Sr 0.000 0.000 0.000
Bi 0.186 0.686 0.500

Crystal system = tetragonal
Formation energy from the elements = -219.5 meV per atom
Electronic total energy = -2.62 eV per atom
Total moment = 0.00 μB per formula unit

---

The following is a DFT calculation (GGA-PBE) of a geometry-optimized SrZnBi2 structure.

a = 4.650 Å, b = 4.650 Å, c = 11.682 Å
α = 101.55°, β = 101.55°, γ = 90.00°
Atoms (fractional coordinates):
Sr 0.123 0.123 0.245
Sr 0.877 0.877 0.755
Bi 0.671 0.671 0.342
Zn 0.750 0.250 0.500
Bi 0.329 0.329 0.658
Zn 0.250 0.750 0.500
Bi 0.000 0.500 0.000
Bi 0.500 0.000 0.000

Crystal system = monoclinic
Formation energy from the elements = -427.2 meV per atom
Electronic total energy = -3.11 eV per atom
Total moment = 0.00 μB per formula unit